# 1
Material: Li2CdBiPb
Method: DFT, PBE
State: relaxed

Its total energy is -2.3915 eV/atom. As for the magnetic moment: 0.00 μB per cell.

It has space group P4/mmm (No. 123), with a = 5.170 Å, b = 5.170 Å, c = 6.339 Å, α = 90.00°, β = 90.00° and γ = 90.00°. The asymmetric unit holds Li at (0.000, 0.500, 0.000), Cd at (0.000, 0.000, 0.500), Bi at (0.500, 0.500, 0.000) and Pb at (0.500, 0.500, 0.500).

# 2
Material: Tb3Mg3Ag2
Method: DFT, PBE
State: relaxed

Its total energy is -3.2142 eV/atom. As for the magnetic moment: 0.00 μB per cell.

It has space group P-62m (No. 189), with a = 7.9217 Å, b = 7.9217 Å, c = 3.7963 Å, α = 90.00°, β = 90.00° and γ = 120.00°. The asymmetric unit holds Tb at (0.0000, 0.4163, 0.0000), Mg at (0.0000, 0.7700, 0.5000) and Ag at (0.3333, 0.6667, 0.5000).

# 3
Material: Ba2Sn4PtRh3
Method: DFT, PBE
State: relaxed

Its total energy is -5.4201 eV/atom. As for the magnetic moment: 0.00 μB per cell.

It has space group P-4m2 (No. 115), with a = 4.741 Å, b = 4.741 Å, c = 10.743 Å, α = 90.00°, β = 90.00° and γ = 90.00°. The asymmetric unit holds Ba at (0.000, 0.500, 0.244), Sn at (0.000, 0.000, 0.500), Sn at (0.000, 0.500, 0.877), Sn at (0.500, 0.500, 0.500), Pt at (0.500, 0.500, 0.000), Rh at (0.000, 0.000, 0.000) and Rh at (0.000, 0.500, 0.624).